# HoCd5Hg8

An optimized crystal structure of HoCd5Hg8 (GGA-PBE, the Alexandria database).

Lattice parameters (Å, degrees): 8.8987 8.8987 8.8351 90.00 90.00 90.00
With the nearest neighbours (Å) after each atom.
Space group I-4 (No. 82)
One atom of each set of equivalent atoms:
Ho 0.0000 0.0000 0.0000 x2  8 Hg 3.11-3.18
Cd 0.0000 0.5000 0.2500 x2  8 Hg 3.03-3.07
Cd 0.1328 0.7270 0.6370 x8  8 Hg 2.98-3.27
Hg 0.0651 0.8335 0.3114 x8  5 Cd 3.06-3.27, 1 Ho 3.18, 3 Hg 3.18-3.41
Hg 0.0944 0.6654 0.9657 x8  5 Cd 2.98-3.04, 1 Ho 3.11, 1 Hg 3.32

Computed properties:
The calculation puts the formation energy at -0.0481 eV per atom. For the energy, the calculation gives -24.48 eV for the cell shown.

=====

# Hf4Zn2N

An optimized crystal structure of Hf4Zn2N (GGA-PBE, the Alexandria database).

Lattice parameters (Å, degrees): 7.4552 10.6184 3.2166 90.00 90.00 90.00
With the nearest neighbours (Å) after each atom.
Space group Pbam (No. 55)
One atom of each set of equivalent atoms:
Hf 0.1330 0.1902 0.0000 x4  1 N 2.25
Hf 0.1802 0.9344 0.5000 x4  2 N 2.21
Zn 0.0587 0.6337 0.5000 x4  6 Hf 2.85-2.91, 1 Zn 2.97
N 0.0000 0.0000 0.0000 x2  6 Hf 2.21-2.25

Computed properties:
For the energy, the calculation gives -108.63 eV for the cell shown. Its energy relative to the elements, uncorrected is -0.52 eV/atom.

=====

# Fe2PtRh

An optimized crystal structure of Fe2PtRh (GGA-PBE, the Alexandria database).

Lattice parameters (Å, degrees): 5.5055 7.3096 2.7247 90.00 90.00 90.00
With the nearest neighbours (Å) after each atom.
Space group Cmmm (No. 65)
One atom of each set of equivalent atoms:
Fe 0.2500 0.2500 0.0000 x4  4 Rh 2.66, 4 Pt 2.66, 4 Fe 2.72-2.75
Pt 0.0000 0.0000 0.5000 x2  8 Fe 2.66, 2 Pt 2.72, 2 Rh 2.75
Rh 0.0000 0.5000 0.5000 x2  8 Fe 2.66, 2 Rh 2.72, 2 Pt 2.75

Computed properties:
The calculation puts the formation energy at -0.1254 eV per atom. For the energy, the calculation gives -61.64 eV for the cell shown.

=====

# Ge2WBr

An optimized crystal structure of Ge2WBr (GGA-PBE, the Alexandria database).

Lattice parameters (Å, degrees): 6.6673 6.6673 6.6673 90.00 90.00 90.00
With the nearest neighbours (Å) after each atom.
Space group Fm-3m (No. 225)
One atom of each set of equivalent atoms:
Ge 0.2500 0.2500 0.2500 x8  4 W 2.89, 4 Br 2.89
W 0.0000 0.0000 0.0000 x4  8 Ge 2.89
Br 0.0000 0.0000 0.5000 x4  8 Ge 2.89

Computed properties:
For the energy, the calculation gives -77.28 eV for the cell shown. The energy above the most stable polymorph in this dataset comes out at 283.1 meV per atom. Its energy relative to the elements, uncorrected is 1.14 eV/atom.

=====

# Sr3Ac5Sb12

An optimized crystal structure of Sr3Ac5Sb12 (GGA-PBE, the Alexandria database).

Lattice parameters (Å, degrees): 19.0320 19.0320 19.0320 90.00 90.00 90.00
With the nearest neighbours (Å) after each atom.
Space group Ia-3d (No. 230)
One atom of each set of equivalent atoms:
Sr 0.0000 0.2500 0.1250 x24  8 Sb 3.24-3.39
Ac 0.0000 0.0000 0.0000 x16  6 Sb 3.48
Ac 0.0000 0.2500 0.3750 x24  4 Sb 3.25
Sb 0.0050 0.0840 0.6623 x96  1 Sb 2.94, 1 Sr 3.24, 1 Ac 3.25

Computed properties:
For the energy, the calculation gives -663.24 eV for the cell shown. Its energy relative to the elements, uncorrected is -0.39 eV/atom.

=====

# Ca3Sb2

An optimized crystal structure of Ca3Sb2 (GGA-PBE, the Alexandria database).

Lattice parameters (Å, degrees): 17.1644 5.1798 11.5786 90.00 97.67 90.00
With the nearest neighbours (Å) after each atom.
Space group C2/m (No. 12)
One atom of each set of equivalent atoms:
Ca 0.0000 0.0000 0.0000 x2  6 Sb 3.39-3.40
Ca 0.0006 0.0000 0.6663 x4  4 Sb 3.10-3.26
Ca 0.1663 0.5000 0.3331 x4  6 Sb 3.39-3.40
Ca 0.1670 0.5000 0.9995 x4  4 Sb 3.10-3.26
Ca 0.1668 0.5000 0.6667 x4  4 Sb 3.10-3.26
Sb 0.0181 0.5000 0.8153 x4  7 Ca 3.10-3.40
Sb 0.1489 0.0000 0.5176 x4  7 Ca 3.10-3.40
Sb 0.1843 0.0000 0.1487 x4  7 Ca 3.11-3.40

Computed properties:
For the energy, the calculation gives -115.19 eV for the cell shown. The energy above the most stable polymorph in this dataset comes out at 0.0 meV per atom. Its energy relative to the elements, uncorrected is -0.99 eV/atom.

=====

# Pr3Ho7Tm2

An optimized crystal structure of Pr3Ho7Tm2 (GGA-PBE, the Alexandria database).

Lattice parameters (Å, degrees): 6.4836 6.4836 34.0330 90.00 90.00 120.00
With the nearest neighbours (Å) after each atom.
Space group R-3m (No. 166, hexagonal axes)
One atom of each set of equivalent atoms:
Pr 0.0000 0.0000 0.0000 x3  6 Tm 3.74
Pr 0.0000 0.0000 0.1565 x6  12 Ho 3.69-4.09, 3 Pr 3.81
Ho 0.0000 0.0000 0.5000 x3  6 Ho 3.40, 6 Pr 3.76
Ho 0.0006 0.5003 0.9168 x18  5 Ho 3.24-3.40, 2 Tm 3.39-3.40
Tm 0.0000 0.0000 0.3332 x6  6 Ho 3.39-3.40, 3 Pr 3.74, 3 Tm 3.74

Computed properties:
The calculation puts the formation energy at 0.2844 eV per atom. For the energy, the calculation gives -155.74 eV for the cell shown. The energy above the most stable polymorph in this dataset comes out at 195.2 meV per atom.

=====

# Co8Ni2Mo

An optimized crystal structure of Co8Ni2Mo (GGA-PBE, the Alexandria database).

Lattice parameters (Å, degrees): 11.5824 4.0220 6.5497 90.00 124.30 90.00
With the nearest neighbours (Å) after each atom.
Space group C2/m (No. 12)
One atom of each set of equivalent atoms:
Co 0.0564 0.0000 0.2876 x4  6 Co 2.28-2.50, 1 Ni 2.38
Co 0.0891 0.5000 0.9393 x4  8 Co 2.41-2.67, 1 Mo 2.45, 2 Ni 2.48
Co 0.1536 0.0000 0.7566 x4  3 Co 2.28-2.48, 3 Ni 2.38-2.42
Co 0.1887 0.5000 0.3768 x4  8 Co 2.39-2.67, 3 Ni 2.47-2.53
Ni 0.2209 0.0000 0.1792 x4  9 Co 2.38-2.53
Mo 0.0000 0.5000 0.5000 x2  12 Co 2.45-2.73, 2 Ni 2.68

Computed properties:
The calculation puts the formation energy at 0.1329 eV per atom. For the energy, the calculation gives -155.56 eV for the cell shown.

=====

Q: Number 2 is which compound?
A: Hf4Zn2N